1.
YHf2S6 | PBE-GGA | relaxed

a = 5.0201 Å, b = 6.7201 Å, c = 7.4204 Å
α = 76.00°, β = 70.23°, γ = 68.07°
Fractional positions:
1 Hf 0.8272 0.2589 0.0867
2 Hf 0.1728 0.7411 0.9133
3 S 0.3774 0.6822 0.5630
4 S 0.7283 0.6516 0.8918
5 S 0.6226 0.3178 0.4370
6 S 0.9455 0.8770 0.2320
7 S 0.2717 0.3484 0.1082
8 S 0.0545 0.1230 0.7680
9 Y 0.0000 0.5000 0.5000

Properties
The uncorrected energy is -7.128 eV/atom. The value obtained for the formation energy without anion corrections is -139.5 kJ per mole of atoms. Its crystal system is monoclinic.

=====

2.
HoTm5Cu4 | PBE-GGA | relaxed

a = 3.4215 Å, b = 3.4215 Å, c = 18.8098 Å
α = 90.00°, β = 90.00°, γ = 90.00°
Fractional positions:
1 Cu 0.0000 0.0000 0.7741
2 Cu 0.0000 0.0000 0.2259
3 Cu 0.0000 0.0000 0.5912
4 Cu 0.0000 0.0000 0.4088
5 Tm 0.5000 0.5000 0.8641
6 Tm 0.5000 0.5000 0.6832
7 Tm 0.5000 0.5000 0.3168
8 Tm 0.5000 0.5000 0.1359
9 Tm 0.5000 0.5000 0.5000
10 Ho 0.0000 0.0000 0.0000

Properties
The uncorrected energy is -4.552 eV/atom. Its crystal system is tetragonal.

=====

3.
K2TmPtO6 | PBE-GGA | relaxed

a = 5.8706 Å, b = 5.8706 Å, c = 5.8706 Å
α = 60.00°, β = 60.00°, γ = 60.00°
Site moments in Bohr magnetons follow the coordinates.
Fractional positions:
1 O 0.2355 0.2355 0.7645  0.22
2 O 0.2355 0.7645 0.2355  0.22
3 O 0.7645 0.2355 0.2355  0.22
4 O 0.7645 0.7645 0.2355  0.22
5 O 0.7645 0.2355 0.7645  0.22
6 O 0.2355 0.7645 0.7645  0.22
7 K 0.2500 0.2500 0.2500  0.00
8 K 0.7500 0.7500 0.7500  0.00
9 Tm 0.5000 0.5000 0.5000  -0.05
10 Pt 0.0000 0.0000 0.0000  0.62

Properties
The uncorrected energy is -5.741 eV/atom. The value obtained for the formation energy without anion corrections is -144.3 kJ per mole of atoms. Its crystal system is cubic.

=====

4.
SrPb2Se | PBE-GGA | relaxed

a = 5.8188 Å, b = 5.8188 Å, c = 5.8188 Å
α = 127.80°, β = 127.80°, γ = 76.96°
Fractional positions:
1 Sr 0.7500 0.2500 0.5000
2 Se 0.5000 0.5000 0.0000
3 Pb 0.2500 0.7500 0.5000
4 Pb 0.0000 0.0000 0.0000

Properties
The uncorrected energy is -3.663 eV/atom. The value obtained for the formation energy without anion corrections is -49.9 kJ per mole of atoms. Its crystal system is tetragonal.